! TbCeNiS4 | the Alexandria database | PBE-GGA | optimized geometry; values from VASP
! - raw formation energy (meV per atom) = -1535
! - theoretical density (kg/m3) = 5885
! - crystal system = monoclinic
&SYSTEM
  ibrav = 0, nat = 14, ntyp = 4
/
ATOMIC_SPECIES
Tb 158.93 Tb.upf
Ce 140.12 Ce.upf
Ni 58.69 Ni.upf
S 32.06 S.upf
CELL_PARAMETERS angstrom
6.540 0.000 0.000
0.000 5.619 0.000
-2.216 0.000 7.464
ATOMIC_POSITIONS angstrom
Tb 0.543 1.405 3.216
Tb 3.781 4.214 4.248
Ce -0.464 1.405 6.997
Ce 4.788 4.214 0.467
Ni 1.286 4.214 1.336
Ni 3.038 1.405 6.128
S -0.389 4.214 2.868
S -1.477 4.214 6.679
S 1.550 2.862 5.506
S 1.550 5.566 5.506
S 2.774 0.053 1.958
S 2.774 2.757 1.958
S 5.801 1.405 0.784
S 4.713 1.405 4.596

! TbCeNiS3 | the Alexandria database | PBE-GGA | optimized geometry; values from VASP
! - raw formation energy (meV per atom) = -1681
! - theoretical density (kg/m3) = 6026
! - crystal system = monoclinic
&SYSTEM
  ibrav = 0, nat = 12, ntyp = 4
/
ATOMIC_SPECIES
Tb 158.93 Tb.upf
Ce 140.12 Ce.upf
Ni 58.69 Ni.upf
S 32.06 S.upf
CELL_PARAMETERS angstrom
8.081 0.000 0.000
0.000 3.807 0.000
-1.649 0.000 8.132
ATOMIC_POSITIONS angstrom
Tb 1.062 0.952 1.441
Tb 5.371 2.855 6.691
Ce 1.428 2.855 6.211
Ce 5.004 0.952 1.921
Ni 2.641 2.855 3.328
Ni 3.792 0.952 4.803
S -0.704 0.952 6.765
S 1.543 0.952 4.080
S 3.009 2.855 1.104
S 3.424 0.952 7.028
S 4.890 2.855 4.051
S 7.136 2.855 1.366

! CeTiNiS3 | the Alexandria database | PBE-GGA | optimized geometry; values from VASP
! - raw formation energy (meV per atom) = -1411
! - theoretical density (kg/m3) = 5317
! - crystal system = monoclinic
&SYSTEM
  ibrav = 0, nat = 12, ntyp = 4
/
ATOMIC_SPECIES
Ce 140.12 Ce.upf
Ti 47.87 Ti.upf
Ni 58.69 Ni.upf
S 32.06 S.upf
CELL_PARAMETERS angstrom
7.358 0.000 0.000
0.000 3.686 0.000
-2.096 0.000 7.896
ATOMIC_POSITIONS angstrom
Ce 0.933 0.922 1.946
Ce 4.330 2.765 5.950
Ti 0.587 2.765 6.586
Ti 4.675 0.922 1.310
Ni -0.550 0.922 4.719
Ni 5.813 2.765 3.177
S -1.078 0.922 6.853
S 0.660 2.765 4.152
S 2.949 2.765 1.223
S 2.313 0.922 6.673
S 4.602 0.922 3.744
S 6.341 2.765 1.043